(1)
DFT (SCAN) results for LiTl3H at its PBEsol-relaxed geometry.

Properties
Uncorrected energy: -222.0 eV/cell
Fermi-level density of states: 0.46 states/eV/atom

a = 4.793 Å, b = 4.793 Å, c = 4.793 Å
α = 90.00°, β = 90.00°, γ = 90.00°
Positions (direct):
Li1 0.000 0.000 0.000
Tl1 0.000 0.500 0.500
Tl2 0.500 0.000 0.500
Tl3 0.500 0.500 0.000
H1 0.500 0.500 0.500

(2)
DFT (SCAN) results for LiHW2 at its PBEsol-relaxed geometry.

Properties
Uncorrected energy: -282.6 eV/cell
Fermi-level density of states: 0.69 states/eV/atom

a = 5.549 Å, b = 5.549 Å, c = 5.549 Å
α = 60.00°, β = 60.00°, γ = 60.00°
Positions (direct):
Li1 0.125 0.125 0.125
Li2 0.875 0.875 0.875
H1 0.375 0.375 0.375
H2 0.625 0.625 0.625
W1 0.000 0.500 0.500
W2 0.500 0.000 0.500
W3 0.500 0.500 0.000
W4 0.500 0.500 0.500

- Which value of Fermi-level density of states does entry 1 give?
  0.46 states/eV/atom

- What is the formula in the first record?
  LiTl3H

- The lowest Fermi-level density of states belongs to which entry?
  LiTl3H